TiAg3Cl: optimized geometry, PBE.

Cell lengths 4.973, 4.973, 4.973 Å; angles 90.00, 90.00, 90.00 degrees
Fractional positions:
1 Cl 0.000 0.000 0.000
2 Ag 0.500 0.000 0.000
3 Ti 0.500 0.500 0.500
4 Ag 0.000 0.000 0.500
5 Ag 0.000 0.500 0.000

Summary:
As for the uncorrected formation energy: 0.9477 eV/atom. For the spin magnetization, the calculation gives 2.78 μB/f.u. The theoretical density comes out at 5.5 g/cm3. The energy above the most stable polymorph in this dataset comes out at 0 meV per atom.